The following is a DFT calculation (PBE-GGA) of a geometry-optimized PmYPu2Se4 structure.

abc: 7.1286 4.1370 7.2381
angles: 90.00 109.50 90.00
With the nearest neighbours (Å) after each atom.
Space group P2/m (No. 10)
One atom of each set of equivalent atoms:
1 Pm 0.0000 0.0000 0.0000 (multiplicity 1)  6 Se 2.95
2 Y 0.0000 0.5000 0.5000 (multiplicity 1)  6 Se 2.91
3 Pu 0.5000 0.0000 0.5000 (multiplicity 1)  6 Se 2.91-2.92
4 Pu 0.5000 0.5000 0.0000 (multiplicity 1)  6 Se 2.94-2.96
5 Se 0.2485 0.0000 0.7461 (multiplicity 2)  2 Y 2.91, 3 Pu 2.92-2.94, 1 Pm 2.95
6 Se 0.2518 0.5000 0.2555 (multiplicity 2)  3 Pu 2.91-2.96, 1 Y 2.91, 2 Pm 2.95

Properties
- mass density (g cm⁻³) = 8.56
- total magnetization (μB per formula unit) = 0.1
- Fermi-level density of states (states/eV/atom) = 2.25
- uncorrected formation energy (eV per atom) = -1.681